Below is FeTeIrI2 after structural relaxation, with properties calculated at the GGA-PBEsol level.

Computed properties:
Raw formation energy, meV/atom: 1014
ρ, g cm⁻³: 7.07
Total moment, μB per formula unit: 3.93
Crystal system: tetragonal
Total DFT energy (no corrections), eV/atom: -4.155

Structure (CIF):
```
data_FeTeIrI2
_chemical_formula_sum 'Fe1 Te1 Ir1 I2'
_symmetry_space_group_name_H-M 'P 4/m m m'
_symmetry_Int_Tables_number 123
_symmetry_space_group_name_Hall '-P 4 2'
_cell_length_a 5.4244
_cell_length_b 5.4244
_cell_length_c 5.0256
_cell_angle_alpha 90.00
_cell_angle_beta 90.00
_cell_angle_gamma 90.00
loop_
_atom_site_label
_atom_site_fract_x
_atom_site_fract_y
_atom_site_fract_z
Fe1 0.0000 0.0000 0.0000
Te1 0.5000 0.5000 0.0000
Ir1 0.5000 0.5000 0.5000
I1 0.0000 0.5000 0.5000
```